# 1
A plane-wave DFT calculation with PBE-GGA was carried out for a relaxed Cs6K3O crystal.

Cell: 8.6859 14.9725 14.9725 Å, 116.15 90.00 90.00°
Positions (direct):
Cs1 0.1015 0.7427 0.5832
Cs2 0.6015 0.5832 0.7427
Cs3 0.2347 0.3836 0.8917
Cs4 0.7347 0.8917 0.3836
Cs5 0.1090 0.1030 0.8970
Cs6 0.8035 0.2380 0.7620
Cs7 0.3035 0.7620 0.2380
Cs8 0.6090 0.8970 0.1030
Cs9 0.2347 0.1083 0.6164
Cs10 0.7347 0.6164 0.1083
Cs11 0.1015 0.4168 0.2573
Cs12 0.6015 0.2573 0.4168
K1 0.6024 0.9104 0.7586
K2 0.1024 0.7586 0.9104
K3 0.0990 0.4188 0.5812
K4 0.5990 0.5812 0.4188
K5 0.1024 0.0896 0.2414
K6 0.6024 0.2414 0.0896
O1 0.0965 0.2092 0.7908
O2 0.5965 0.7908 0.2092

* formation energy without anion corrections: -0.3017 eV/atom
* calculated density: 1.8 g/cm3
* symmetry: Cmc2_1 (36)
* crystal system: orthorhombic
* total energy: -32.78 eV per cell

---

# 2
A plane-wave DFT calculation with PBE-GGA was carried out for a relaxed TbPrYAl crystal.

Cell: 5.4384 5.4384 5.4384 Å, 60.00 60.00 60.00°
Site moments in Bohr magnetons follow the coordinates.
Positions (direct):
Pr1 0.5000 0.5000 0.5000  0.16
Y1 0.0000 0.0000 0.0000  0.18
Tb1 0.2500 0.2500 0.2500  0.32
Al1 0.7500 0.7500 0.7500  0.00

* calculated density: 6.1 g/cm3
* symmetry: F-43m (216)
* crystal system: cubic
* total energy: -19.81 eV per cell

---

# 3
A plane-wave DFT calculation with PBE-GGA was carried out for a relaxed Pr3Ni4B2 crystal.

Cell: 3.8016 5.6255 8.0265 Å, 109.71 90.00 109.75°
Positions (direct):
Pr1 0.6113 0.2227 0.6904
Pr2 0.0000 0.0000 0.0000
Pr3 0.3887 0.7773 0.3096
Ni1 0.7169 0.4338 0.0859
Ni2 0.2831 0.5662 0.9141
Ni3 0.8314 0.6628 0.5732
Ni4 0.1686 0.3372 0.4268
B1 0.6729 0.3458 0.3265
B2 0.3271 0.6542 0.6735

* calculated density: 7.5 g/cm3
* symmetry: C2/m (12)
* crystal system: monoclinic
* total energy: -53.25 eV per cell

---

# 4
A plane-wave DFT calculation with PBE-GGA was carried out for a relaxed Zr2ScNbN crystal.

Cell: 4.5637 4.5637 4.3388 Å, 90.00 90.00 90.00°
Positions (direct):
Sc1 0.0000 0.0000 0.5000
Nb1 0.5000 0.5000 0.5000
Zr1 0.0000 0.5000 0.0000
Zr2 0.5000 0.0000 0.0000
N1 0.0000 0.0000 0.0000

* formation energy without anion corrections: -0.6432 eV/atom
* calculated density: 6.1 g/cm3
* symmetry: P4/mmm (123)
* crystal system: tetragonal
* total energy: -45.04 eV per cell

---

# 5
A plane-wave DFT calculation with PBE-GGA was carried out for a relaxed Cu3AgPt crystal.

Cell: 5.1675 6.6128 8.6321 Å, 105.52 90.00 90.00°
Positions (direct):
Cu1 0.8411 0.9617 0.7371
Cu2 0.1589 0.0383 0.2629
Cu3 0.3411 0.0383 0.7629
Cu4 0.6589 0.9617 0.2371
Cu5 0.4388 0.8166 0.4756
Cu6 0.5612 0.1834 0.5244
Cu7 0.9388 0.1834 0.0244
Cu8 0.0612 0.8166 0.9756
Cu9 0.8199 0.5737 0.1149
Cu10 0.1801 0.4263 0.8851
Cu11 0.3199 0.4263 0.3851
Cu12 0.6801 0.5737 0.6149
Ag1 0.9372 0.7805 0.4221
Ag2 0.0628 0.2195 0.5779
Ag3 0.4372 0.2195 0.0779
Ag4 0.5628 0.7805 0.9221
Pt1 0.1780 0.6515 0.6749
Pt2 0.8220 0.3485 0.3251
Pt3 0.6780 0.3485 0.8251
Pt4 0.3220 0.6515 0.1749

* calculated density: 11.5 g/cm3
* symmetry: P2_1/c (14)
* crystal system: monoclinic
* total energy: -84.27 eV per cell

---

# 6
A plane-wave DFT calculation with PBE-GGA was carried out for a relaxed Sm2HoAg4 crystal.

Cell: 5.3484 5.3484 7.4387 Å, 111.07 111.07 90.00°
Positions (direct):
Ag1 0.3842 0.8842 0.7683
Ag2 0.8842 0.3842 0.7683
Ag3 0.6158 0.1158 0.2317
Ag4 0.1158 0.6158 0.2317
Ho1 0.0000 0.0000 0.0000
Sm1 0.7219 0.7219 0.4438
Sm2 0.2781 0.2781 0.5562

* calculated density: 8.1 g/cm3
* symmetry: I4/mmm (139)
* crystal system: tetragonal
* total energy: -26.19 eV per cell

---

# 7
A plane-wave DFT calculation with PBE-GGA was carried out for a relaxed YSc2Ag crystal.

Cell: 6.2139 6.3306 9.9933 Å, 90.00 90.00 90.00°
Positions (direct):
Y1 0.5995 0.4814 0.2500
Y2 0.9005 0.9814 0.2500
Y3 0.4005 0.5186 0.7500
Y4 0.0995 0.0186 0.7500
Sc1 0.1840 0.6794 0.0321
Sc2 0.3160 0.1794 0.4679
Sc3 0.8160 0.3206 0.5321
Sc4 0.6840 0.8206 0.9679
Sc5 0.8160 0.3206 0.9679
Sc6 0.6840 0.8206 0.5321
Sc7 0.1840 0.6794 0.4679
Sc8 0.3160 0.1794 0.0321
Ag1 0.0781 0.4147 0.2500
Ag2 0.4219 0.9147 0.2500
Ag3 0.9219 0.5853 0.7500
Ag4 0.5781 0.0853 0.7500

* calculated density: 4.8 g/cm3
* symmetry: Pnma (62)
* crystal system: orthorhombic
* total energy: -89.65 eV per cell

---

# 8
A plane-wave DFT calculation with PBE-GGA was carried out for a relaxed LaYRh4 crystal.

Cell: 5.4012 5.4012 5.4012 Å, 60.00 60.00 60.00°
Positions (direct):
La1 0.0000 0.0000 0.0000
Rh1 0.1259 0.6247 0.6247
Rh2 0.6247 0.6247 0.6247
Rh3 0.6247 0.1259 0.6247
Rh4 0.6247 0.6247 0.1259
Y1 0.2500 0.2500 0.2500

* calculated density: 9.5 g/cm3
* symmetry: F-43m (216)
* crystal system: cubic
* total energy: -45.00 eV per cell

---

# 9
A plane-wave DFT calculation with PBE-GGA was carried out for a relaxed NbGeTe crystal.

Cell: 3.7289 3.7301 5.3893 Å, 90.00 89.99 90.00°
Positions (direct):
Nb1 0.0000 0.0000 0.5000
Te1 0.0000 0.0000 0.0000
Ge1 0.5000 0.5000 0.5000

* formation energy without anion corrections: -0.0089 eV/atom
* calculated density: 6.5 g/cm3
* symmetry: P4/mmm (123)
* crystal system: tetragonal
* total energy: -17.86 eV per cell

---

# 10
A plane-wave DFT calculation with PBE-GGA was carried out for a relaxed Ac4Te2PbN2 crystal.

Cell: 4.4230 9.6089 7.8468 Å, 114.82 90.00 103.31°
Positions (direct):
Ac1 0.7780 0.5559 0.8356
Ac2 0.2220 0.4441 0.1644
Ac3 0.4446 0.8891 0.2446
Ac4 0.5554 0.1109 0.7554
Te1 0.8835 0.7671 0.5133
Te2 0.1165 0.2329 0.4867
Pb1 0.0000 0.0000 0.0000
N1 0.3148 0.6296 0.0160
N2 0.6852 0.3704 0.9840

* formation energy without anion corrections: -1.1966 eV/atom
* calculated density: 7.9 g/cm3
* symmetry: C2/m (12)
* crystal system: monoclinic
* total energy: -53.85 eV per cell

---

# 11
A plane-wave DFT calculation with PBE-GGA was carried out for a relaxed LiHfB crystal.

Cell: 13.1789 4.7333 4.7333 Å, 137.13 148.45 31.55°
Positions (direct):
B1 0.3858 0.7255 0.2745
B2 0.6142 0.2745 0.7255
Hf1 0.3251 0.0928 0.9072
Hf2 0.6749 0.9072 0.0928
Li1 0.0910 0.7017 0.2983
Li2 0.9090 0.2983 0.7017

* calculated density: 8.1 g/cm3
* symmetry: C2/m (12)
* crystal system: monoclinic
* total energy: -38.07 eV per cell

---

# 12
A plane-wave DFT calculation with PBE-GGA was carried out for a relaxed K3W crystal.

Cell: 14.4488 14.4488 14.4488 Å, 12.99 12.99 12.99°
Site moments in Bohr magnetons follow the coordinates.
Positions (direct):
K1 0.7354 0.7354 0.7354  0.01
K2 0.5000 0.5000 0.5000  0.00
K3 0.2646 0.2646 0.2646  0.01
W1 0.0000 0.0000 0.0000  0.36

* calculated density: 3.8 g/cm3
* symmetry: R-3m (166)
* crystal system: trigonal
* total energy: -10.51 eV per cell

---

# 13
A plane-wave DFT calculation with PBE-GGA was carried out for a relaxed NpNb2Ni9 crystal.

Cell: 4.8165 4.8165 8.3465 Å, 73.23 73.23 60.00°
Site moments in Bohr magnetons follow the coordinates.
Positions (direct):
Np1 0.0000 0.0000 0.0000  3.34
Nb1 0.8580 0.8580 0.4260  -0.07
Nb2 0.1420 0.1420 0.5740  -0.07
Ni1 0.6665 0.6665 0.0004  -0.25
Ni2 0.3335 0.3335 0.9996  -0.25
Ni3 0.5000 0.5000 0.5000  -0.05
Ni4 0.4119 0.4119 0.2583  -0.10
Ni5 0.9179 0.4119 0.2583  -0.10
Ni6 0.4119 0.9179 0.2583  -0.10
Ni7 0.5881 0.5881 0.7417  -0.10
Ni8 0.5881 0.0821 0.7417  -0.10
Ni9 0.0821 0.5881 0.7417  -0.10

* calculated density: 10.0 g/cm3
* symmetry: R-3m (166)
* crystal system: trigonal
* total energy: -87.20 eV per cell

---

# 14
A plane-wave DFT calculation with PBE-GGA was carried out for a relaxed YCrRu2 crystal.

Cell: 5.1969 5.1969 5.1969 Å, 144.72 124.01 67.94°
Site moments in Bohr magnetons follow the coordinates.
Positions (direct):
Cr1 0.2500 0.7500 0.5000  0.23
Ru1 0.0360 0.0360 0.0000  -0.03
Ru2 0.4640 0.4640 0.0000  -0.03
Y1 0.7500 0.2500 0.5000  0.00

* calculated density: 8.6 g/cm3
* symmetry: Immm (71)
* crystal system: orthorhombic
* total energy: -33.73 eV per cell

---

# 15
A plane-wave DFT calculation with PBE-GGA was carried out for a relaxed PaSiTc3 crystal.

Cell: 4.9213 4.9213 9.0727 Å, 105.74 105.74 90.00°
Positions (direct):
Pa1 0.6237 0.1237 0.2474
Pa2 0.8763 0.3763 0.7526
Si1 0.0000 0.0000 0.0000
Si2 0.2500 0.7500 0.5000
Tc1 0.6173 0.8761 0.7522
Tc2 0.1239 0.8651 0.2478
Tc3 0.1239 0.3827 0.2478
Tc4 0.1349 0.8761 0.7522
Tc5 0.2799 0.2799 0.5598
Tc6 0.7201 0.7201 0.4402

* formation energy without anion corrections: 0.2682 eV/atom
* calculated density: 9.1 g/cm3
* symmetry: I-4m2 (119)
* crystal system: tetragonal
* total energy: -89.35 eV per cell

---

# 16
A plane-wave DFT calculation with PBE-GGA was carried out for a relaxed Te3AsP crystal.

Cell: 5.3674 5.3674 5.3674 Å, 90.00 90.00 90.00°
Positions (direct):
P1 0.5000 0.5000 0.5000
As1 0.0000 0.0000 0.0000
Te1 0.0000 0.5000 0.0000
Te2 0.0000 0.0000 0.5000
Te3 0.5000 0.0000 0.0000

* formation energy without anion corrections: 0.9668 eV/atom
* calculated density: 5.2 g/cm3
* symmetry: Pm-3m (221)
* crystal system: cubic
* total energy: -14.65 eV per cell

---

# 17
A plane-wave DFT calculation with PBE-GGA was carried out for a relaxed CdHgB2Se crystal.

Cell: 4.3110 5.8162 4.3110 Å, 90.00 90.00 90.00°
Positions (direct):
B1 0.0000 0.0000 0.5000
B2 0.5000 0.0000 0.0000
Hg1 0.0000 0.5000 0.0000
Se1 0.5000 0.5000 0.5000
Cd1 0.0000 0.0000 0.0000

* formation energy without anion corrections: 1.5903 eV/atom
* calculated density: 6.4 g/cm3
* symmetry: P4/mmm (123)
* crystal system: tetragonal
* total energy: -10.11 eV per cell

---

# 18
A plane-wave DFT calculation with PBE-GGA was carried out for a relaxed Cd12Hg6Ge crystal.

Cell: 8.0326 8.0326 8.0326 Å, 103.14 103.14 103.14°
Positions (direct):
Cd1 0.5304 0.1908 0.6490
Cd2 0.1908 0.6490 0.5304
Cd3 0.6490 0.5304 0.1908
Cd4 0.4696 0.8092 0.3510
Cd5 0.8092 0.3510 0.4696
Cd6 0.3510 0.4696 0.8092
Cd7 0.1814 0.0608 0.7128
Cd8 0.2872 0.8186 0.9392
Cd9 0.9392 0.2872 0.8186
Cd10 0.8186 0.9392 0.2872
Cd11 0.7128 0.1814 0.0608
Cd12 0.0608 0.7128 0.1814
Hg1 0.1399 0.2525 0.4195
Hg2 0.7475 0.5805 0.8601
Hg3 0.5805 0.8601 0.7475
Hg4 0.8601 0.7475 0.5805
Hg5 0.2525 0.4195 0.1399
Hg6 0.4195 0.1399 0.2525
Ge1 0.0000 0.0000 0.0000

* calculated density: 9.3 g/cm3
* symmetry: R-3 (148)
* crystal system: trigonal
* total energy: -15.82 eV per cell

---

# 19
A plane-wave DFT calculation with PBE-GGA was carried out for a relaxed CaTlBi2S crystal.

Cell: 5.6824 6.0599 5.6824 Å, 90.00 90.00 90.00°
Site moments in Bohr magnetons follow the coordinates.
Positions (direct):
S1 0.5000 0.5000 0.5000  0.24
Tl1 0.0000 0.0000 0.0000  0.00
Ca1 0.0000 0.5000 0.0000  0.00
Bi1 0.0000 0.0000 0.5000  0.06
Bi2 0.5000 0.0000 0.0000  0.10

* formation energy without anion corrections: 0.5410 eV/atom
* calculated density: 5.9 g/cm3
* symmetry: P4/mmm (123)
* crystal system: tetragonal
* total energy: -13.55 eV per cell

---

# 20
A plane-wave DFT calculation with PBE-GGA was carried out for a relaxed Ho2SnPd crystal.

Cell: 3.5447 3.5447 7.6002 Å, 90.00 90.00 90.00°
Positions (direct):
Ho1 0.0000 0.0000 0.7772
Ho2 0.0000 0.0000 0.2228
Pd1 0.5000 0.5000 0.0000
Sn1 0.5000 0.5000 0.5000

* calculated density: 9.7 g/cm3
* symmetry: P4/mmm (123)
* crystal system: tetragonal
* total energy: -21.43 eV per cell